Record 1
Computed, not measured: a relaxed Ac8Zn2Ga crystal at the PBE level of DFT.

Values from the calculation:
DFT total energy in eV per atom: -3.612
Density in g cm⁻³: 8.27
Calculated formation energy in meV per atom: -117

```
11
Lattice="5.576 0.000 0.000 0.000 7.635 0.185 -2.788 -3.049 9.441" Properties=species:S:1:pos:R:3 pbc="T T T"
Ac 0.000 -1.824 6.276
Ac 0.000 1.661 7.838
Ac 2.788 -1.189 8.978
Ga 2.788 0.000 0.000
Ac 0.000 1.258 3.835
Zn 0.000 4.402 3.579
Ac 2.788 3.328 5.791
Zn 2.788 0.184 6.047
Ac 2.788 6.410 3.351
Ac 0.000 5.775 0.649
Ac 2.788 2.925 1.789
```

=====

Record 2
Computed, not measured: a relaxed AcZrGa2 crystal at the PBE level of DFT.

Values from the calculation:
Polymorph energy (0 for the lowest one) in meV per atom: 0
DFT total energy in eV per atom: -5.082
Density in g cm⁻³: 7.89
Calculated formation energy in meV per atom: -404

```
4
Lattice="3.721 0.000 0.000 0.000 3.721 0.000 0.000 0.000 6.958" Properties=species:S:1:pos:R:3 pbc="T T T"
Ga 0.000 0.000 1.325
Ac 1.861 1.861 3.479
Zr 1.861 1.861 0.000
Ga 0.000 0.000 5.632
```

=====

Repeat the second record exactly.
Computed, not measured: a relaxed AcZrGa2 crystal at the PBE level of DFT.

Values from the calculation:
Polymorph energy (0 for the lowest one) in meV per atom: 0
DFT total energy in eV per atom: -5.082
Density in g cm⁻³: 7.89
Calculated formation energy in meV per atom: -404

```
4
Lattice="3.721 0.000 0.000 0.000 3.721 0.000 0.000 0.000 6.958" Properties=species:S:1:pos:R:3 pbc="T T T"
Ga 0.000 0.000 1.325
Ac 1.861 1.861 3.479
Zr 1.861 1.861 0.000
Ga 0.000 0.000 5.632
```